[1]
{"formula": "ScBeCr", "functional": "PBE", "state": "optimized geometry", "relative_energy_mev_per_atom": 86, "magmom_total_mub_per_fu": 0.00, "lattice": [[6.434, 0.000, 0.004], [0.000, 3.150, 0.000], [-5.607, 0.000, 8.651]], "species": ["Sc", "Sc", "Sc", "Sc", "Cr", "Cr", "Cr", "Cr", "Be", "Be", "Be", "Be"], "fractional_positions": [[0.882, 0.000, 0.139], [0.882, 0.500, 0.639], [0.287, 0.000, 0.979], [0.287, 0.500, 0.479], [0.884, 0.000, 0.416], [0.884, 0.500, 0.916], [0.544, 0.000, 0.365], [0.544, 0.500, 0.865], [0.621, 0.000, 0.721], [0.621, 0.500, 0.221], [0.256, 0.000, 0.685], [0.256, 0.500, 0.185]]}

[2]
{"formula": "Sc2BeCr2", "functional": "PBE", "state": "optimized geometry", "final_energy_ev_per_fu": -34.28, "magmom_total_mub_per_fu": 0.00, "lattice": [[-1.000, 0.019, -6.175], [-6.130, -0.754, 0.990], [-0.480, 4.019, 0.090]], "species": ["Sc", "Sc", "Sc", "Sc", "Cr", "Cr", "Cr", "Cr", "Be", "Be"], "fractional_positions": [[0.181, 0.681, 0.500], [0.681, 0.819, 0.500], [0.819, 0.319, 0.500], [0.319, 0.181, 0.500], [0.383, 0.883, 0.000], [0.883, 0.617, 0.000], [0.617, 0.117, 0.000], [0.117, 0.383, 0.000], [0.000, 0.000, 0.000], [0.500, 0.500, 0.000]]}